(1)
# SrTb2Co

Crystalline SrTb2Co at its relaxed geometry (PBE, Alexandria).

The calculation puts the energy above the most stable polymorph in this dataset at 60 meV per atom. As for the crystal system: trigonal. As for the spin magnetization: 0.000 μB per cell.

The structure belongs to space group R-3m (No. 166, hexagonal axes); the cell edges are 3.8964, 3.8964 and 32.0494 Å and the angles 90.00°, 90.00° and 120.00°. The distinct sites, in fractional coordinates, are Sr at (0.0000, 0.0000, 0.0000), Tb at (0.0000, 0.0000, 0.1221) and Co at (0.0000, 0.0000, 0.5000).



(2)
# TbThAu3

Crystalline TbThAu3 at its relaxed geometry (PBE, Alexandria).

As for the crystal system: orthorhombic. As for the spin magnetization: 0.003 μB per cell. Its energy is -25.67 eV/f.u.

The structure belongs to space group Cmcm (No. 63); the cell edges are 3.553, 28.393 and 4.694 Å and the angles 90.00°, 90.00° and 90.00°. The distinct sites, in fractional coordinates, are Tb at (0.000, 0.207, 0.250), Th at (0.000, 0.073, 0.750), Au at (0.000, 0.317, 0.250), Au at (0.000, 0.378, 0.750) and Au at (0.000, 0.475, 0.750).



(3)
# Li3BeW

Crystalline Li3BeW at its relaxed geometry (PBE, Alexandria).

The calculation puts the energy above the most stable polymorph in this dataset at 0 meV per atom. As for the crystal system: cubic. As for the spin magnetization: 0.000 μB per cell.

The structure belongs to space group Pm-3m (No. 221); the cell edges are 4.004, 4.004 and 4.004 Å and the angles 90.00°, 90.00° and 90.00°. The distinct sites, in fractional coordinates, are Li at (0.000, 0.000, 0.500), Be at (0.000, 0.000, 0.000) and W at (0.500, 0.500, 0.500).



(4)
# Mg2NbVGa

Crystalline Mg2NbVGa at its relaxed geometry (PBE, Alexandria).

As for the crystal system: tetragonal. As for the spin magnetization: 0.000 μB per cell. Its energy is -19.88 eV/f.u.

The structure belongs to space group P4/mmm (No. 123); the cell edges are 5.460, 5.460 and 4.360 Å and the angles 90.00°, 90.00° and 90.00°. The distinct sites, in fractional coordinates, are Mg at (0.000, 0.500, 0.000), Nb at (0.000, 0.000, 0.000), V at (0.000, 0.000, 0.500) and Ga at (0.500, 0.500, 0.500).